#P
Entry from the Alexandria database: a relaxed structure of CaTmP2 (PBE).

The structure in POSCAR format:
```
CaTmP2
1.0
1.9949 1.1518 6.7598
-1.9949 1.1518 6.7598
0.0000 -2.3035 6.7598
Ca Tm P
1 1 2
Direct
0.0000 0.0000 0.0000
0.5000 0.5000 0.5000
0.2441 0.2441 0.2441
0.7559 0.7559 0.7559
```

Properties
Crystal system: trigonal
Symmetry: R-3m (166)
Theoretical density: 4.8 g/cm3

---

#Q
Entry from the Alexandria database: a relaxed structure of CaTmP2 (PBE).

The structure in POSCAR format:
```
CaTmP2
1.0
1.9893 1.1485 6.9127
-1.9893 1.1485 6.9127
0.0000 -2.2970 6.9127
Ca Tm P
1 1 2
Direct
0.0000 0.0000 0.0000
0.8272 0.8272 0.8272
0.2393 0.2393 0.2393
0.4198 0.4198 0.4198
```

Properties
Crystal system: trigonal
Symmetry: R3m (160)
Theoretical density: 4.7 g/cm3

---

Energies relative to the most stable structure are #P 0; #Q 69, reported in meV/atom.

---

#P
Entry from the Alexandria database: a relaxed structure of CaVP2 (PBE).

The structure in POSCAR format:
```
CaVP2
1.0
1.6679 0.9630 8.6252
-1.6679 0.9630 8.6252
0.0000 -1.9260 8.6252
Ca V P
1 1 2
Direct
0.0000 0.0000 0.0000
0.5000 0.5000 0.5000
0.1092 0.1092 0.1092
0.8908 0.8908 0.8908
```

Properties
Crystal system: trigonal
Symmetry: R-3m (166)
Theoretical density: 3.1 g/cm3

---

#Q
Entry from the Alexandria database: a relaxed structure of CaVP2 (PBE).

The structure in POSCAR format:
```
CaVP2
1.0
-3.3830 3.3830 3.8099
3.3830 -3.3830 3.8099
3.3830 3.3830 -3.8099
Ca V P
2 2 4
Direct
0.0000 0.0000 0.0000
0.7500 0.2500 0.5000
0.2500 0.7500 0.5000
0.5000 0.5000 0.0000
0.1891 0.6250 0.0641
0.3750 0.4391 0.5641
0.5609 0.1250 0.9359
0.8750 0.8109 0.4359
```

Properties
Crystal system: tetragonal
Symmetry: I-42d (122)
Theoretical density: 2.9 g/cm3

---

#R
Entry from the Alexandria database: a relaxed structure of CaVP2 (PBE).

The structure in POSCAR format:
```
CaVP2
1.0
0.0000 3.2485 3.2485
3.2485 0.0000 3.2485
3.2485 3.2485 0.0000
Ca V P
1 1 2
Direct
0.0000 0.0000 0.0000
0.5000 0.5000 0.5000
0.2500 0.2500 0.2500
0.7500 0.7500 0.7500
```

Properties
Crystal system: cubic
Symmetry: Fm-3m (225)
Theoretical density: 3.7 g/cm3

---

Energies relative to the most stable structure are #P 378; #Q 0; #R 175, reported in meV/atom.

---

#P
Entry from the Alexandria database: a relaxed structure of CaVP3 (PBE).

The structure in POSCAR format:
```
CaVP3
1.0
5.0366 0.0000 0.0000
0.0000 5.0366 0.0000
0.0000 0.0000 5.0366
Ca V P
1 1 3
Direct
0.0000 0.0000 0.0000
0.5000 0.5000 0.5000
0.0000 0.0000 0.5000
0.0000 0.5000 0.0000
0.5000 0.0000 0.0000
```

Properties
Crystal system: cubic
Symmetry: Pm-3m (221)
Theoretical density: 2.4 g/cm3

---

#Q
Entry from the Alexandria database: a relaxed structure of CaVP3 (PBE).

The structure in POSCAR format:
```
CaVP3
1.0
4.6043 0.0000 0.0000
0.0000 4.6043 0.0000
0.0000 0.0000 4.6043
Ca V P
1 1 3
Direct
0.0000 0.0000 0.0000
0.5000 0.5000 0.5000
0.0000 0.5000 0.5000
0.5000 0.0000 0.5000
0.5000 0.5000 0.0000
```

Properties
Crystal system: cubic
Symmetry: Pm-3m (221)
Theoretical density: 3.1 g/cm3

---

Energies relative to the most stable structure are #P 1687; #Q 0, reported in meV/atom.

---

#P
Entry from the Alexandria database: a relaxed structure of Ca3VP (PBE).

The structure in POSCAR format:
```
Ca3VP
1.0
5.4781 0.0000 0.0000
0.0000 5.4781 0.0000
0.0000 0.0000 5.4781
Ca V P
3 1 1
Direct
0.0000 0.0000 0.5000
0.0000 0.5000 0.0000
0.5000 0.0000 0.0000
0.5000 0.5000 0.5000
0.0000 0.0000 0.0000
```

Properties
Crystal system: cubic
Symmetry: Pm-3m (221)
Theoretical density: 2.0 g/cm3

---

#Q
Entry from the Alexandria database: a relaxed structure of Ca3VP (PBE).

The structure in POSCAR format:
```
Ca3VP
1.0
5.5609 0.0000 0.0000
0.0000 5.5609 0.0000
0.0000 0.0000 5.5609
Ca V P
3 1 1
Direct
0.0000 0.0000 0.5000
0.0000 0.5000 0.0000
0.5000 0.0000 0.0000
0.0000 0.0000 0.0000
0.5000 0.5000 0.5000
```

Properties
Crystal system: cubic
Symmetry: Pm-3m (221)
Theoretical density: 2.0 g/cm3

---

Energies relative to the most stable structure are #P 0; #Q 774, reported in meV/atom.

---

#P
Entry from the Alexandria database: a relaxed structure of CaV3P (PBE).

The structure in POSCAR format:
```
CaV3P
1.0
4.3790 0.0000 0.0000
0.0000 4.3790 0.0000
0.0000 0.0000 4.3790
Ca V P
1 3 1
Direct
0.0000 0.0000 0.0000
0.0000 0.0000 0.5000
0.0000 0.5000 0.0000
0.5000 0.0000 0.0000
0.5000 0.5000 0.5000
```

Properties
Crystal system: cubic
Symmetry: Pm-3m (221)
Theoretical density: 4.4 g/cm3

---

#Q
Entry from the Alexandria database: a relaxed structure of CaV3P (PBE).

The structure in POSCAR format:
```
CaV3P
1.0
4.5186 0.0000 0.0000
0.0000 4.5186 0.0000
0.0000 0.0000 4.5186
Ca V P
1 3 1
Direct
0.0000 0.0000 0.0000
0.0000 0.5000 0.5000
0.5000 0.0000 0.5000
0.5000 0.5000 0.0000
0.5000 0.5000 0.5000
```

Properties
Crystal system: cubic
Symmetry: Pm-3m (221)
Theoretical density: 4.0 g/cm3

---

Energies relative to the most stable structure are #P 1988; #Q 0, reported in meV/atom.

---

#P
Entry from the Alexandria database: a relaxed structure of Ca3PW (PBE).

The structure in POSCAR format:
```
Ca3PW
1.0
5.4338 0.0000 0.0000
0.0000 5.4338 0.0000
0.0000 0.0000 5.4338
Ca P W
3 1 1
Direct
0.0000 0.0000 0.5000
0.0000 0.5000 0.0000
0.5000 0.0000 0.0000
0.0000 0.0000 0.0000
0.5000 0.5000 0.5000
```

Properties
Crystal system: cubic
Symmetry: Pm-3m (221)
Theoretical density: 3.5 g/cm3

---

#Q
Entry from the Alexandria database: a relaxed structure of Ca3PW (PBE).

The structure in POSCAR format:
```
Ca3PW
1.0
5.3680 0.0000 0.0000
0.0000 5.3680 0.0000
0.0000 0.0000 5.3680
Ca P W
3 1 1
Direct
0.0000 0.0000 0.5000
0.0000 0.5000 0.0000
0.5000 0.0000 0.0000
0.5000 0.5000 0.5000
0.0000 0.0000 0.0000
```

Properties
Crystal system: cubic
Symmetry: Pm-3m (221)
Theoretical density: 3.6 g/cm3

---

Energies relative to the most stable structure are #P 0; #Q 599, reported in meV/atom.

---

#P
Entry from the Alexandria database: a relaxed structure of Ca3YP (PBE).

The structure in POSCAR format:
```
Ca3YP
1.0
5.5942 0.0000 0.0000
0.0000 5.5942 0.0000
0.0000 0.0000 5.5942
Ca Y P
3 1 1
Direct
0.0000 0.0000 0.5000
0.0000 0.5000 0.0000
0.5000 0.0000 0.0000
0.5000 0.5000 0.5000
0.0000 0.0000 0.0000
```

Properties
Crystal system: cubic
Symmetry: Pm-3m (221)
Theoretical density: 2.3 g/cm3

---

#Q
Entry from the Alexandria database: a relaxed structure of Ca3YP (PBE).

The structure in POSCAR format:
```
Ca3YP
1.0
5.9195 0.0000 0.0000
0.0000 5.9195 0.0000
0.0000 0.0000 5.9195
Ca Y P
3 1 1
Direct
0.0000 0.0000 0.5000
0.0000 0.5000 0.0000
0.5000 0.0000 0.0000
0.0000 0.0000 0.0000
0.5000 0.5000 0.5000
```

Properties
Crystal system: cubic
Symmetry: Pm-3m (221)
Theoretical density: 1.9 g/cm3

---

Energies relative to the most stable structure are #P 0; #Q 1436, reported in meV/atom.

---

#P
Entry from the Alexandria database: a relaxed structure of CaYP3 (PBE).

The structure in POSCAR format:
```
CaYP3
1.0
5.2103 0.0000 0.0000
0.0000 5.2103 0.0000
0.0000 0.0000 5.2103
Ca Y P
1 1 3
Direct
0.0000 0.0000 0.0000
0.5000 0.5000 0.5000
0.0000 0.5000 0.5000
0.5000 0.0000 0.5000
0.5000 0.5000 0.0000
```

Properties
Crystal system: cubic
Symmetry: Pm-3m (221)
Theoretical density: 2.6 g/cm3

---

#Q
Entry from the Alexandria database: a relaxed structure of CaYP3 (PBE).

The structure in POSCAR format:
```
CaYP3
1.0
5.0125 0.0000 0.0000
0.0000 5.0125 0.0000
0.0000 0.0000 5.0125
Ca Y P
1 1 3
Direct
0.0000 0.0000 0.0000
0.5000 0.5000 0.5000
0.0000 0.0000 0.5000
0.0000 0.5000 0.0000
0.5000 0.0000 0.0000
```

Properties
Crystal system: cubic
Symmetry: Pm-3m (221)
Theoretical density: 2.9 g/cm3

---

Energies relative to the most stable structure are #P 0; #Q 399, reported in meV/atom.